{
  "formula": "PmThTl",
  "functional": "PBE",
  "state": "relaxed",
  "space_group": "I4/mmm, No. 139",
  "polymorph_energy_ev_per_atom": 0.000,
  "total_energy_ev_per_atom": -5.007,
  "formation_energy_ev_per_atom": -0.16,
  "lattice": [[-2.351, 2.351, 8.712], [2.351, -2.351, 8.712], [2.351, 2.351, -8.712]],
  "species": ["Pm", "Pm", "Th", "Th", "Tl", "Tl"],
  "fractional_positions": [[0.178, 0.178, 0.000], [0.822, 0.822, 0.000], [0.000, 0.500, 0.500], [0.500, 0.000, 0.500], [0.360, 0.360, 0.000], [0.640, 0.640, 0.000]]
}